1.
3
Lattice="3.017 0.000 0.000 1.507 2.613 0.000 1.314 0.692 7.086" Properties=species:S:1:pos:R:3 comment="TaGeO (PBE, optimized geometry)" final_energy_ev_per_atom=-8.189 de_polymorph_mev_per_atom=182 pbc="T T T"
Ta 3.543 2.563 6.169
Ge 2.033 1.691 3.884
O 2.230 0.130 0.202

***

2.
18
Lattice="3.886 0.000 0.000 -1.943 7.708 -2.523 0.000 -0.035 9.677" Properties=species:S:1:pos:R:3 comment="ZrSi2Pd3 (PBE, optimized geometry)" final_energy_ev_per_atom=-6.574 pbc="T T T"
Pd 1.943 7.112 4.163
Si 1.943 4.613 6.870
Si 1.943 0.614 7.432
Pd 1.943 1.796 1.276
Pd 0.000 0.560 2.992
Zr 1.943 5.403 1.250
Pd 0.000 3.381 2.659
Pd 0.000 5.876 5.879
Pd 1.943 2.762 8.386
Zr 0.000 0.000 0.000
Pd 0.000 4.910 -1.232
Pd 1.943 -0.018 4.839
Si 0.000 5.579 3.442
Zr 0.000 2.269 5.904
Si 1.943 2.093 3.712
Si 0.000 7.059 -0.277
Si 0.000 3.060 0.284
Pd 1.943 4.292 4.496

***

3.
8
Lattice="-4.118 -2.219 -0.510 0.937 -2.671 4.057 -2.376 4.323 0.378" Properties=species:S:1:pos:R:3 comment="MgIrF6 (PBE, optimized geometry)" final_energy_ev_per_atom=-4.922 pbc="T T T"
F -3.740 -1.447 3.852
F -1.953 0.490 2.865
F -0.743 -1.388 1.266
F -0.871 -1.774 3.983
Ir -0.167 -0.340 2.831
F -2.504 -3.398 2.365
F -3.546 -1.180 1.126
Mg -2.059 -1.110 -0.255

***

4.
7
Lattice="4.204 0.000 0.000 0.000 4.370 0.000 -2.102 -2.185 6.400" Properties=species:S:1:pos:R:3 comment="Zr3TaFe2N (PBE, optimized geometry)" final_energy_ev_per_atom=-9.276 pbc="T T T"
Fe 0.000 0.000 4.820
Zr 2.102 2.185 4.016
Ta 2.102 0.000 0.000
Zr 0.000 0.000 2.384
Zr 0.000 2.185 0.000
Fe 2.102 2.185 1.580
N 0.000 0.000 0.000

***

5.
5
Lattice="4.902 0.000 0.000 0.000 4.902 0.000 0.000 0.000 4.902" Properties=species:S:1:pos:R:3 comment="NiPb3C (PBE, optimized geometry)" final_energy_ev_per_atom=-3.988 de_polymorph_mev_per_atom=0 pbc="T T T"
Ni 2.451 2.451 2.451
C 0.000 0.000 0.000
Pb 2.451 0.000 0.000
Pb 0.000 2.451 0.000
Pb 0.000 0.000 2.451

***

6.
8
Lattice="-4.678 -0.430 1.223 -1.218 -0.111 -4.697 -2.098 -9.524 -1.738" Properties=species:S:1:pos:R:3 comment="ZnCrBi2 (PBE, optimized geometry)" final_energy_ev_per_atom=-4.201 pbc="T T T"
Cr -3.132 -4.953 -4.086
Bi -3.582 -2.662 -0.262
Cr -2.948 -0.271 -1.737
Bi -3.789 -7.346 -2.625
Bi -6.727 -7.616 -4.326
Zn 0.000 0.000 0.000
Bi -1.888 -2.506 -3.213
Zn -4.862 -5.112 -1.126